A plane-wave DFT calculation with PBE was carried out for a relaxed structure of TlNiSeN2.

Lattice parameters (Å, degrees): 3.900 3.900 5.266 90.00 90.00 90.00
Positions (direct):
N 0.500 0.000 0.000
N 0.000 0.500 0.000
Ni 0.000 0.000 0.000
Tl 0.500 0.500 0.500
Se 0.000 0.000 0.500

Computed properties:
DFT total energy, eV per formula unit: -22.6
Distance to the lowest polymorph of the same formula, meV/atom: 0
Mass density, g cm⁻³: 7.67
Size of the total moment, μB/f.u.: 3.45